## Sr8Zn2Cd (PBE-GGA)

Data for a geometry-optimized Sr8Zn2Cd structure.

Unit cell a=10.0797 b=14.7671 c=6.6865 alpha=90.00 beta=107.06 gamma=90.00
With the nearest neighbours (Å) after each atom.
Space group Cm (No. 8)
One atom of each set of equivalent atoms:
Sr1 0.0000 0.0000 0.0000 (multiplicity 2)  2 Zn 3.48, 1 Cd 3.73
Sr2 0.0701 0.3689 0.7794 (multiplicity 4)  2 Zn 3.31-3.34, 1 Cd 3.64
Sr3 0.1646 0.1319 0.5893 (multiplicity 4)  2 Zn 3.32-3.34, 1 Cd 3.61
Sr4 0.2360 0.5000 0.3800 (multiplicity 2)  2 Zn 3.47, 1 Cd 3.63
Sr5 0.3664 0.2272 0.1861 (multiplicity 4)  1 Cd 3.49, 2 Zn 3.57-3.58
Zn1 0.3684 0.3129 0.6880 (multiplicity 4)  8 Sr 3.31-3.58
Cd1 0.3682 0.0000 0.3326 (multiplicity 2)  8 Sr 3.49-3.73

Values from the calculation:
Distance to the lowest polymorph of the same formula in eV per atom: 0.023
E_tot in eV per cell: -35.41
Magnetization in μB/cell: 0.000
Energy of formation from the pure elements in eV/atom: -0.0714